## NiB2OsF (PBE with a Hubbard U)

Data for NiB2OsF after structural relaxation.

Lattice parameters (Å, degrees): 3.8090 3.8090 3.5856 90.00 90.00 90.00
Last column: nearest neighbours and their distance in Å.
Space group P4/mmm (No. 123)
Symmetry-distinct sites (fractional):
Ni 0.0000 0.0000 0.0000  2 F 1.79
B 0.0000 0.5000 0.5000  2 F 1.90
Os 0.5000 0.5000 0.0000  8 B 2.62, 4 Ni 2.69
F 0.0000 0.0000 0.5000  2 Ni 1.79, 4 B 1.90

* uncorrected energy: -4.526 eV per atom